# 1
SrBiPd2N (PBE-GGA, optimized geometry); energy relative to the elements, uncorrected = 0.384 eV/atom; crystal system = tetragonal; space group = No. 123
1.0
5.152 0.000 0.000
0.000 5.152 0.000
0.000 0.000 4.607
Sr Bi Pd N
1 1 2 1
Direct
0.000 0.000 0.000
0.500 0.500 0.500
0.000 0.500 0.500
0.500 0.000 0.500
0.500 0.500 0.000

---

# 2
K3Pa2S6 (PBE-GGA, optimized geometry); energy relative to the elements, uncorrected = -1.419 eV/atom; crystal system = tetragonal; space group = No. 139
1.0
-2.620 2.620 12.825
2.620 -2.620 12.825
2.620 2.620 -12.825
K Pa S
3 2 6
Direct
0.000 0.000 0.000
0.182 0.182 0.000
0.818 0.818 0.000
0.403 0.403 0.000
0.597 0.597 0.000
0.080 0.580 0.500
0.307 0.307 0.000
0.420 0.920 0.500
0.580 0.080 0.500
0.693 0.693 0.000
0.920 0.420 0.500

---

# 3
Al4Cd3 (PBE-GGA, optimized geometry); crystal system = tetragonal; polymorph energy (0 for the lowest one) = 0 meV/atom; DFT formation energy = 93 meV per atom; space group = No. 139
1.0
3.034 0.000 0.000
0.000 3.034 0.000
0.000 0.000 29.503
Al Cd
8 6
Direct
0.000 0.000 0.074
0.000 0.000 0.363
0.000 0.000 0.637
0.000 0.000 0.926
0.500 0.500 0.137
0.500 0.500 0.426
0.500 0.500 0.574
0.500 0.500 0.863
0.000 0.000 0.210
0.000 0.000 0.500
0.000 0.000 0.790
0.500 0.500 0.000
0.500 0.500 0.290
0.500 0.500 0.710

---

# 4
RbMg2Tl5 (PBE-GGA, optimized geometry); crystal system = orthorhombic; DFT formation energy = -17 meV per atom; space group = No. 71
1.0
4.927 0.000 0.000
0.000 8.401 0.000
0.000 0.000 12.350
Rb Mg Tl
2 4 10
Direct
0.000 0.000 0.000
0.500 0.500 0.500
0.000 0.500 0.238
0.000 0.500 0.762
0.500 0.000 0.262
0.500 0.000 0.738
0.000 0.196 0.361
0.000 0.196 0.639
0.000 0.500 0.000
0.000 0.804 0.361
0.000 0.804 0.639
0.500 0.000 0.500
0.500 0.304 0.139
0.500 0.304 0.861
0.500 0.696 0.139
0.500 0.696 0.861